CaTePb2: relaxed, GGA-PBEsol.

Cell and atoms, written as POSCAR:
```
CaTePb2
1.0
4.4141 0.0095 0.0000
-0.0120 4.4142 0.0000
0.0000 0.0000 6.3772
Pb Te Ca
2 1 1
Direct
0.7520 0.7520 0.0000
0.2480 0.2480 0.0000
0.0000 0.0000 0.5000
0.5000 0.5000 0.5000
```

Spin magnetization = 0.000 μB per atom
Calculated total energy = -0.286 Ry per atom
Raw formation energy = -483.7 meV/atom
D(E_F) = 0.7508 states/eV/atom
SG = No. 65

=====

SrFeSi2: relaxed, GGA-PBEsol.

Cell and atoms, written as POSCAR:
```
SrFeSi2
1.0
3.0245 0.0000 0.0000
0.0000 3.0240 0.0000
0.0000 0.0000 7.0818
Fe Si Sr
1 2 1
Direct
0.5000 0.5000 0.5000
0.0000 0.0000 0.3266
0.0000 0.0000 0.6734
0.5000 0.5000 0.0000
```

Spin magnetization = 0.236 μB per atom
Calculated total energy = -0.426 Ry per atom
Raw formation energy = -219.1 meV/atom
D(E_F) = 0.4037 states/eV/atom
SG = No. 123

=====

CaSeBr2: relaxed, GGA-PBEsol.

Cell and atoms, written as POSCAR:
```
CaSeBr2
1.0
-2.9893 2.3169 0.9354
-2.4501 -3.5099 0.8639
1.7825 0.0980 5.4536
Br Ca Se
2 1 1
Direct
0.0000 0.0000 0.0000
0.5000 0.0000 0.5000
0.5000 0.5000 0.0000
0.0000 0.5000 0.5000
```

Spin magnetization = 0.000 μB per atom
Polymorph energy (0 for the lowest one) = 0.46 eV/f.u.
Calculated total energy = -0.253 Ry per atom
Raw formation energy = -1015.2 meV/atom
D(E_F) = 0.1805 states/eV/atom
SG = No. 47

=====

ScSbRh2: relaxed, GGA-PBEsol.

Cell and atoms, written as POSCAR:
```
ScSbRh2
1.0
-2.0573 -3.4072 1.2541
4.2812 0.6661 1.8897
0.0812 1.3979 3.9311
Sc Rh Sb
1 2 1
Direct
0.0000 0.0000 0.0000
0.2500 0.5000 0.2500
0.7500 0.5000 0.7500
0.5000 0.0000 0.5000
```

Spin magnetization = 0.000 μB per atom
Calculated total energy = -0.565 Ry per atom
Raw formation energy = -829.2 meV/atom
D(E_F) = 0.4136 states/eV/atom
SG = No. 139

=====

CaNiRh: relaxed, GGA-PBEsol.

Cell and atoms, written as POSCAR:
```
CaNiRh
1.0
3.2505 0.0002 -0.0016
0.0002 3.2638 -0.0022
-1.6282 -1.6351 4.8959
Ni Rh Ca
1 1 1
Direct
0.7107 0.7106 0.4217
0.2897 0.2897 0.5795
0.9997 0.9999 0.9988
```

Spin magnetization = 0.071 μB per atom
Calculated total energy = -0.402 Ry per atom
ΔH_f (0 K) = 0.0022 eV/atom
D(E_F) = 1.5526 states/eV/atom
SG = No. 44

=====

K2ZnSi: relaxed, GGA-PBEsol.

Cell and atoms, written as POSCAR:
```
K2ZnSi
1.0
-1.8173 2.3399 -0.8968
-4.8599 -2.9708 2.0972
0.7247 2.6392 5.4178
K Si Zn
2 1 1
Direct
0.0000 0.0000 0.5000
0.0000 0.5000 0.0000
0.5000 0.5000 0.5000
0.5000 0.0000 0.0000
```

Spin magnetization = 0.000 μB per atom
Calculated total energy = -0.142 Ry per atom
Raw formation energy = 464.7 meV/atom
D(E_F) = 0.6362 states/eV/atom
SG = No. 123

=====

GeTePt3: relaxed, GGA-PBEsol.

Cell and atoms, written as POSCAR:
```
GeTePt3
1.0
-0.3786 4.5703 -1.7000
-4.0500 -1.2444 -2.4434
-2.7158 1.2185 3.8808
Te Pt Ge
1 3 1
Direct
0.0000 0.0000 0.0000
0.0000 0.5000 0.0000
0.5000 0.0000 0.0000
0.0000 0.0000 0.5000
0.5000 0.5000 0.5000
```

Spin magnetization = 0.000 μB per atom
Calculated total energy = -0.366 Ry per atom
Raw formation energy = 897.9 meV/atom
D(E_F) = 0.4890 states/eV/atom
SG = No. 221

=====

TaSb3Ir: relaxed, GGA-PBEsol.

Cell and atoms, written as POSCAR:
```
TaSb3Ir
1.0
-1.1132 4.9139 -0.2540
-1.9955 -0.2128 4.6285
4.4977 1.1218 1.9907
Sb Ir Ta
3 1 1
Direct
0.0000 0.5000 0.0000
0.5000 0.0000 0.0000
0.0000 0.0000 0.5000
0.0000 0.0000 0.0000
0.5000 0.5000 0.5000
```

Spin magnetization = 0.236 μB per atom
Calculated total energy = -0.444 Ry per atom
Raw formation energy = 1171.1 meV/atom
D(E_F) = 1.4834 states/eV/atom
SG = No. 221